No. 1
# GGA-PBE La2ZnAs, optimized geometry
data_La2ZnAs
_symmetry_space_group_name_H-M 'R 3 m'
_symmetry_Int_Tables_number 160
_symmetry_space_group_name_Hall 'R 3 -2"'
_cell_length_a 4.2405
_cell_length_b 4.2405
_cell_length_c 23.4903
_cell_angle_alpha 90.00
_cell_angle_beta 90.00
_cell_angle_gamma 120.00
loop_
_atom_site_label
_atom_site_fract_x
_atom_site_fract_y
_atom_site_fract_z
La1 0.0000 0.0000 0.0000
La2 0.0000 0.0000 0.1851
Zn1 0.0000 0.0000 0.7601
As1 0.0000 0.0000 0.5927
# Energy: -56.65 eV/cell
# Density of states at the Fermi level: 10.5 states/eV per cell
# Size of the total moment: 0.00 μB per cell
# E_form: -3.10 eV per formula unit
# Energy relative to the lowest polymorph listed for this composition: 0.0456 eV/atom



No. 2
# GGA-PBE K2PO4, optimized geometry
data_K2PO4
_symmetry_space_group_name_H-M 'P 1 21/c 1'
_symmetry_Int_Tables_number 14
_symmetry_space_group_name_Hall '-P 2ybc'
_cell_length_a 5.972
_cell_length_b 10.411
_cell_length_c 7.500
_cell_angle_alpha 90.00
_cell_angle_beta 98.74
_cell_angle_gamma 90.00
loop_
_atom_site_label
_atom_site_fract_x
_atom_site_fract_y
_atom_site_fract_z
K1 0.234 0.230 0.478
K2 0.252 0.583 0.330
P1 0.284 0.574 0.780
O1 0.084 0.657 0.816
O2 0.220 0.054 0.186
O3 0.392 0.541 0.998
O4 0.469 0.646 0.700
# Energy: -167.57 eV/cell
# Density of states at the Fermi level: 0.0 states/eV per cell
# Size of the total moment: 0.00 μB per cell
# Energy relative to the lowest polymorph listed for this composition: 0.0000 eV/atom
# ΔE_f (raw): -2.06 eV/atom



Question: What is the formula in the first record?
Answer: La2ZnAs